i) First-principles (PBE) data for crystalline Tb5Nd2Er4 at its relaxed geometry, as listed in Alexandria.

M_tot: 0.0 μB per formula unit
V: 352 Å³ per cell
Crystal system: triclinic
ρ: 8.28 g/cm³

abc: 3.5618 9.4236 11.8108
angles: 106.49 81.37 112.21
Last column: nearest neighbours and their distance in Å.
Positions (direct):
1 Tb 0.9566 0.0933 0.2734  3 Er 3.52-3.54, 7 Tb 3.55-3.59, 2 Nd 3.59
2 Tb 0.0434 0.9067 0.7266  3 Er 3.52-3.54, 7 Tb 3.55-3.59, 2 Nd 3.59
3 Nd 0.1365 0.7263 0.1812  5 Er 3.56-3.58, 5 Tb 3.56-3.59, 2 Nd 3.56
4 Tb 0.4114 0.1841 0.5446  3 Er 3.53-3.55, 7 Tb 3.55-3.60, 2 Nd 3.57-3.58
5 Er 0.6840 0.6375 0.9066  3 Tb 3.52-3.56, 5 Er 3.54-3.62, 4 Nd 3.56-3.58
6 Er 0.3160 0.3625 0.0934  3 Tb 3.52-3.56, 5 Er 3.54-3.62, 4 Nd 3.56-3.58
7 Er 0.2283 0.5461 0.6357  5 Tb 3.53-3.55, 6 Er 3.54-3.56, 1 Nd 3.57
8 Nd 0.8635 0.2737 0.8188  5 Er 3.56-3.58, 5 Tb 3.56-3.59, 2 Nd 3.56
9 Er 0.7717 0.4539 0.3643  5 Tb 3.53-3.55, 6 Er 3.54-3.56, 1 Nd 3.57
10 Tb 0.5000 0.0000 0.0000  4 Er 3.56, 2 Nd 3.56, 6 Tb 3.56-3.57
11 Tb 0.5886 0.8159 0.4554  3 Er 3.53-3.55, 7 Tb 3.55-3.60, 2 Nd 3.57-3.58


ii) First-principles (PBE) data for crystalline Tb5Nd2Er4 at its relaxed geometry, as listed in Alexandria.

M_tot: 0.0 μB per formula unit
V: 367 Å³ per cell
Crystal system: orthorhombic
ρ: 7.93 g/cm³

abc: 3.4915 9.0260 12.6019
angles: 110.98 97.96 90.00
Last column: nearest neighbours and their distance in Å.
Positions (direct):
1 Nd 0.2676 0.2676 0.5352  1 Er 3.16, 2 Tb 3.42, 2 Nd 3.49
2 Tb 0.1417 0.3376 0.2833  3 Er 3.42-3.46, 1 Nd 3.42, 3 Tb 3.49-3.54
3 Er 0.0000 0.6878 0.0000  4 Tb 3.31-3.46, 7 Er 3.32-3.49
4 Tb 0.8583 0.6624 0.7167  3 Er 3.42-3.46, 1 Nd 3.42, 3 Tb 3.49-3.54
5 Tb 0.8583 0.0543 0.7167  3 Er 3.42-3.46, 1 Nd 3.42, 3 Tb 3.49-3.54
6 Er 0.0000 0.3122 0.0000  4 Tb 3.31-3.46, 7 Er 3.32-3.49
7 Nd 0.7324 0.7324 0.4648  1 Er 3.16, 2 Tb 3.42, 2 Nd 3.49
8 Er 0.4032 0.4032 0.8064  1 Nd 3.16, 6 Er 3.32-3.49, 4 Tb 3.42
9 Tb 0.5000 0.0000 0.0000  4 Er 3.31, 2 Tb 3.49
10 Tb 0.1417 0.9457 0.2833  3 Er 3.42-3.46, 1 Nd 3.42, 3 Tb 3.49-3.54
11 Er 0.5968 0.5968 0.1936  1 Nd 3.16, 6 Er 3.32-3.49, 4 Tb 3.42


Energies relative to the minimum, kJ/mol of atoms: i) 0.0; ii) 16.9